First-principles (GGA-PBE) data for Sm3Ho5Sb8 after structural relaxation, as listed in Alexandria via LeMat-Bulk.

The space group is R-3m (No. 166, hexagonal axes) and the conventional cell measures 8.8172, 8.8172 and 21.5868 Å, with angles of 90.00, 90.00 and 120.00 degrees. The distinct sites, in fractional coordinates, are Sm at (0.0000, 0.5000, 0.0000), Ho at (0.0000, 0.0000, 0.0000), Ho at (0.0000, 0.0000, 0.5000), Ho at (0.0000, 0.5000, 0.5000), Sb at (0.0000, 0.0000, 0.2477) and Sb at (0.0030, 0.5015, 0.7515).

The calculation puts the formation energy (no corrections) at -1135 meV/atom. The volume comes out at 30.3 Å³/atom. The value obtained for the magnetization is 0.00 μB/cell. The total DFT energy (no corrections) is -264.5 eV/cell.

=====

First-principles (GGA-PBE) data for Sm2HoSb3 after structural relaxation, as listed in Alexandria via LeMat-Bulk.

The space group is Immm (No. 71) and the conventional cell measures 4.438, 6.275 and 13.310 Å, with angles of 90.00, 90.00 and 90.00 degrees. The distinct sites, in fractional coordinates, are Sm at (0.000, 0.000, 0.168), Ho at (0.000, 0.000, 0.500), Sb at (0.000, 0.500, 0.163) and Sb at (0.000, 0.500, 0.500).

The calculation puts the formation energy (no corrections) at -1152 meV/atom. The volume comes out at 30.9 Å³/atom. The value obtained for the magnetization is 0.00 μB/cell. The total DFT energy (no corrections) is -66.6 eV/cell.

=====

First-principles (GGA-PBE) data for Sm3Ho4Sb4 after structural relaxation, as listed in Alexandria via LeMat-Bulk.

The space group is Immm (No. 71) and the conventional cell measures 4.145, 9.219 and 17.040 Å, with angles of 90.00, 90.00 and 90.00 degrees. The distinct sites, in fractional coordinates, are Sm at (0.000, 0.000, 0.000), Sm at (0.000, 0.500, 0.103), Ho at (0.000, 0.312, 0.330), Sb at (0.000, 0.000, 0.258) and Sb at (0.000, 0.208, 0.500).

The calculation puts the formation energy (no corrections) at -787 meV/atom. The volume comes out at 29.6 Å³/atom. The value obtained for the magnetization is 0.00 μB/cell. The total DFT energy (no corrections) is -115.2 eV/cell.